Below is crystalline NaIn4Rh at its relaxed geometry, with properties calculated at the GGA-PBE level.

Structure (CIF):
```
data_NaIn4Rh
_chemical_formula_sum 'Na2 In8 Rh2'
_cell_length_a 9.050
_cell_length_b 4.054
_cell_length_c 7.665
_cell_angle_alpha 90.00
_cell_angle_beta 90.00
_cell_angle_gamma 90.00
_space_group_name_H-M_alt 'P 1'
_space_group_IT_number 1
loop_
_space_group_symop_operation_xyz
'x,y,z'
loop_
_atom_site_label
_atom_site_type_symbol
_atom_site_fract_x
_atom_site_fract_y
_atom_site_fract_z
_atom_site_occupancy
Na1 Na 0.250 0.000 0.091 1
Na2 Na 0.750 0.000 0.909 1
In1 In 0.000 0.000 0.500 1
In2 In 0.067 0.500 0.820 1
In3 In 0.250 0.500 0.421 1
In4 In 0.433 0.500 0.820 1
In5 In 0.500 0.000 0.500 1
In6 In 0.567 0.500 0.180 1
In7 In 0.750 0.500 0.579 1
In8 In 0.933 0.500 0.180 1
Rh1 Rh 0.250 0.000 0.685 1
Rh2 Rh 0.750 0.000 0.315 1
```

The theoretical density is 6.911 g/cm³. The energy of formation from the pure elements is -0.239 eV/atom. The symmetry is No. 51. The electronic total energy is -3.5097 eV per atom. As for the density of states at the Fermi level: 0.347 states/eV per atom. The value obtained for the offset from the most stable computed form is 0.0 kJ/mol of formula units. Its size of the total moment is 0.00 μB per formula unit.